# 1
Density functional theory data (PBE) for crystalline Na2Tl3Cd2 at its relaxed geometry.

Values from the calculation:
**Density of states at the Fermi level**: 6.260 states/eV per cell
**Formation energy**: -0.0745 eV per atom
**Uncorrected energy**: -24.18 eV for the cell shown

a = 10.8949 Å, b = 5.0234 Å, c = 7.0253 Å
α = 90.00°, β = 93.50°, γ = 90.00°
Space group C2/m (No. 12)
One atom of each set of equivalent atoms:
1 Na 0.0858 0.0000 0.2206 (multiplicity 4)
2 Tl 0.0000 0.5000 0.5000 (multiplicity 2)
3 Tl 0.2098 0.0000 0.6751 (multiplicity 4)
4 Cd 0.1288 0.5000 0.9313 (multiplicity 4)

***

# 2
Density functional theory data (PBE) for crystalline Na4Tl3Cd2 at its relaxed geometry.

Values from the calculation:
**Density of states at the Fermi level**: 4.572 states/eV per cell
**Formation energy**: -0.0920 eV per atom
**Uncorrected energy**: -15.03 eV for the cell shown

a = 4.7660 Å, b = 6.0281 Å, c = 9.7777 Å
α = 75.86°, β = 75.97°, γ = 66.85°
Space group P-1 (No. 2)
One atom of each set of equivalent atoms:
1 Na 0.0081 0.3181 0.1671 (multiplicity 2)
2 Na 0.3365 0.4353 0.3931 (multiplicity 2)
3 Tl 0.0000 0.0000 0.5000 (multiplicity 1)
4 Tl 0.3316 0.7730 0.0635 (multiplicity 2)
5 Cd 0.3247 0.1177 0.7296 (multiplicity 2)

***

# 3
Density functional theory data (PBE) for crystalline NaTlCd6 at its relaxed geometry.

Values from the calculation:
**Distance to the lowest polymorph of the same formula**: 0 meV/atom
**Density of states at the Fermi level**: 4.666 states/eV per cell
**Formation energy**: -0.0251 eV per atom
**Uncorrected energy**: -18.75 eV for the cell shown

a = 5.0088 Å, b = 7.8283 Å, c = 10.0269 Å
α = 90.00°, β = 90.00°, γ = 90.00°
Space group Amm2 (No. 38)
One atom of each set of equivalent atoms:
1 Na 0.0000 0.0000 0.0000 (multiplicity 2)
2 Tl 0.5000 0.0000 0.7805 (multiplicity 2)
3 Cd 0.0000 0.0000 0.5771 (multiplicity 2)
4 Cd 0.0000 0.1974 0.2874 (multiplicity 4)
5 Cd 0.5000 0.0000 0.1994 (multiplicity 2)
6 Cd 0.5000 0.2026 0.4911 (multiplicity 4)

***

# 4
Density functional theory data (PBE) for crystalline Na9TlCd4 at its relaxed geometry.

Values from the calculation:
**Density of states at the Fermi level**: 10.952 states/eV per cell
**Formation energy**: -0.0752 eV per atom
**Uncorrected energy**: -37.90 eV for the cell shown

a = 10.0058 Å, b = 10.0058 Å, c = 9.7371 Å
α = 90.00°, β = 90.00°, γ = 120.00°
Space group P6_3/mmc (No. 194)
One atom of each set of equivalent atoms:
1 Na 0.0743 0.5372 0.2500 (multiplicity 6)
2 Na 0.1909 0.3819 0.5526 (multiplicity 12)
3 Tl 0.3333 0.6667 0.7500 (multiplicity 2)
4 Cd 0.0000 0.0000 0.0000 (multiplicity 2)
5 Cd 0.1101 0.2202 0.2500 (multiplicity 6)

***

# 5
Density functional theory data (PBE) for crystalline Na2Tl8Cd3 at its relaxed geometry.

Values from the calculation:
**Distance to the lowest polymorph of the same formula**: 0 meV/atom
**Density of states at the Fermi level**: 7.237 states/eV per cell
**Formation energy**: 0.0016 eV per atom
**Uncorrected energy**: -48.59 eV for the cell shown

a = 12.6419 Å, b = 10.8148 Å, c = 6.3292 Å
α = 90.00°, β = 118.95°, γ = 90.00°
Space group C2/m (No. 12)
One atom of each set of equivalent atoms:
1 Na 0.2098 0.0000 0.0410 (multiplicity 4)
2 Tl 0.0705 0.0000 0.3445 (multiplicity 4)
3 Tl 0.1419 0.5000 0.2403 (multiplicity 4)
4 Tl 0.1631 0.2524 0.6741 (multiplicity 8)
5 Cd 0.0000 0.2408 0.0000 (multiplicity 4)
6 Cd 0.0000 0.5000 0.5000 (multiplicity 2)

***

# 6
Density functional theory data (PBE) for crystalline Na12Tl2Cd5 at its relaxed geometry.

Values from the calculation:
**Distance to the lowest polymorph of the same formula**: 31 meV/atom
**Density of states at the Fermi level**: 15.914 states/eV per cell
**Formation energy**: -0.0407 eV per atom
**Uncorrected energy**: -51.82 eV for the cell shown

a = 12.4542 Å, b = 10.8293 Å, c = 8.6226 Å
α = 90.00°, β = 104.51°, γ = 90.00°
Space group C2/m (No. 12)
One atom of each set of equivalent atoms:
1 Na 0.0393 0.0000 0.2054 (multiplicity 4)
2 Na 0.0853 0.5000 0.3826 (multiplicity 4)
3 Na 0.0998 0.2599 0.8873 (multiplicity 8)
4 Na 0.2147 0.2283 0.3073 (multiplicity 8)
5 Tl 0.0000 0.2257 0.5000 (multiplicity 4)
6 Cd 0.0000 0.5000 0.0000 (multiplicity 2)
7 Cd 0.1517 0.0000 0.5976 (multiplicity 4)
8 Cd 0.2493 0.0000 0.9573 (multiplicity 4)

***

# 7
Density functional theory data (PBE) for crystalline Na5Tl5Cd2 at its relaxed geometry.

Values from the calculation:
**Density of states at the Fermi level**: 12.271 states/eV per cell
**Formation energy**: -0.0943 eV per atom
**Uncorrected energy**: -42.78 eV for the cell shown

a = 9.2169 Å, b = 5.3012 Å, c = 14.3340 Å
α = 90.00°, β = 102.10°, γ = 90.00°
Space group C2/m (No. 12)
One atom of each set of equivalent atoms:
1 Na 0.0000 0.0000 0.0000 (multiplicity 2)
2 Na 0.1945 0.0000 0.5808 (multiplicity 4)
3 Na 0.2220 0.5000 0.1733 (multiplicity 4)
4 Tl 0.0000 0.5000 0.5000 (multiplicity 2)
5 Tl 0.1027 0.0000 0.3164 (multiplicity 4)
6 Tl 0.1474 0.5000 0.9396 (multiplicity 4)
7 Cd 0.0783 0.5000 0.7236 (multiplicity 4)

***

# 8
Density functional theory data (PBE) for crystalline NaTlCd4 at its relaxed geometry.

Values from the calculation:
**Density of states at the Fermi level**: 16.502 states/eV per cell
**Formation energy**: -0.0423 eV per atom
**Uncorrected energy**: -30.40 eV for the cell shown

a = 8.5241 Å, b = 8.5241 Å, c = 8.5241 Å
α = 90.00°, β = 90.00°, γ = 90.00°
Space group F-43m (No. 216)
One atom of each set of equivalent atoms:
1 Na 0.0000 0.0000 0.0000 (multiplicity 4)
2 Tl 0.2500 0.2500 0.7500 (multiplicity 4)
3 Cd 0.1254 0.1254 0.3746 (multiplicity 16)

***

# 9
Density functional theory data (PBE) for crystalline Na4TlCd2 at its relaxed geometry.

Values from the calculation:
**Distance to the lowest polymorph of the same formula**: 201 meV/atom
**Density of states at the Fermi level**: 5.063 states/eV per cell
**Formation energy**: 0.1285 eV per atom
**Uncorrected energy**: -17.15 eV for the cell shown

a = 5.8764 Å, b = 5.8764 Å, c = 15.3360 Å
α = 90.00°, β = 90.00°, γ = 90.00°
Space group I4/mmm (No. 139)
One atom of each set of equivalent atoms:
1 Na 0.0000 0.0000 0.2009 (multiplicity 4)
2 Na 0.0000 0.5000 0.0000 (multiplicity 4)
3 Tl 0.0000 0.0000 0.0000 (multiplicity 2)
4 Cd 0.0000 0.0000 0.4028 (multiplicity 4)

***

# 10
Density functional theory data (PBE) for crystalline Na2Tl2Cd at its relaxed geometry.

Values from the calculation:
**Distance to the lowest polymorph of the same formula**: 92 meV/atom
**Density of states at the Fermi level**: 5.013 states/eV per cell
**Formation energy**: 0.0091 eV per atom
**Uncorrected energy**: -16.48 eV for the cell shown

a = 8.6636 Å, b = 8.6636 Å, c = 3.8129 Å
α = 90.00°, β = 90.00°, γ = 90.00°
Space group P4/mbm (No. 127)
One atom of each set of equivalent atoms:
1 Na 0.1352 0.3648 0.0000 (multiplicity 4)
2 Tl 0.1662 0.6662 0.5000 (multiplicity 4)
3 Cd 0.0000 0.0000 0.0000 (multiplicity 2)

***

# 11
Density functional theory data (PBE) for crystalline NaTl12Cd7 at its relaxed geometry.

Values from the calculation:
**Density of states at the Fermi level**: 21.074 states/eV per cell
**Formation energy**: 0.0376 eV per atom
**Uncorrected energy**: -106.11 eV for the cell shown

a = 13.5173 Å, b = 13.5173 Å, c = 10.9928 Å
α = 90.00°, β = 90.00°, γ = 120.00°
Space group R-3 (No. 148, hexagonal axes)
One atom of each set of equivalent atoms:
1 Na 0.0000 0.0000 0.0000 (multiplicity 3)
2 Tl 0.0174 0.2644 0.9727 (multiplicity 18)
3 Tl 0.0615 0.5413 0.1236 (multiplicity 18)
4 Cd 0.0000 0.0000 0.5000 (multiplicity 3)
5 Cd 0.0628 0.9075 0.7501 (multiplicity 18)

***

# 12
Density functional theory data (PBE) for crystalline Na4TlCd3 at its relaxed geometry.

Values from the calculation:
**Distance to the lowest polymorph of the same formula**: 0 meV/atom
**Density of states at the Fermi level**: 2.255 states/eV per cell
**Formation energy**: -0.0868 eV per atom
**Uncorrected energy**: -22.16 eV for the cell shown

a = 19.7473 Å, b = 4.7211 Å, c = 4.7215 Å
α = 90.00°, β = 103.65°, γ = 90.00°
Space group C2/m (No. 12)
One atom of each set of equivalent atoms:
1 Na 0.1266 0.0000 0.1263 (multiplicity 4)
2 Na 0.1267 0.5000 0.6267 (multiplicity 4)
3 Tl 0.0000 0.5000 0.0000 (multiplicity 2)
4 Cd 0.0000 0.0000 0.5000 (multiplicity 2)
5 Cd 0.2502 0.0000 0.7491 (multiplicity 4)

***

> What is the formation energy in the seventh record?

-0.0943 eV per atom

***

> density of states at the Fermi level of number 11 (NaTl12Cd7)?

21.074 states/eV per cell